Density functional theory data (PBE+U) for a relaxed MnGeO crystal.

The value obtained for the total energy is -6.452 eV/atom.

The structure belongs to space group Cm (No. 8); the cell edges are 10.163, 3.061 and 6.706 Å and the angles 90.00°, 110.09° and 90.00°. Symmetry generates all atoms from Mn at (0.000, 0.000, 0.000), Mn at (0.177, 0.000, 0.747), Ge at (0.181, 0.500, 0.401), Ge at (0.382, 0.000, 0.318), O at (0.070, 0.500, 0.838) and O at (0.356, 0.000, 0.027).